# KOs2Pt (PBEsol, optimized geometry)
data_KOs2Pt
_chemical_formula_sum 'K2 Os4 Pt2'
_space_group_name_H-M_alt 'I m m 2'
_space_group_IT_number 44
_space_group_name_Hall 'I 2 -2'
_cell_length_a 2.6574
_cell_length_b 5.1388
_cell_length_c 10.3890
_cell_angle_alpha 90.00
_cell_angle_beta 90.00
_cell_angle_gamma 90.00
loop_
_atom_site_label
_atom_site_type_symbol
_atom_site_fract_x
_atom_site_fract_y
_atom_site_fract_z
K1 K 0.0000 0.0000 0.0000
Os1 Os 0.0000 0.0000 0.4932
Os2 Os 0.0000 0.5000 0.7892
Pt1 Pt 0.0000 0.5000 0.2172
# - total moment (μB/f.u.) = 0.00
# - polymorph energy (0 for the lowest one) (eV per formula unit) = 0.32
# - energy relative to the elements (eV/atom) = 1.10
# - volume (Å³ per cell) = 141.9
# - energy (eV per atom) = -7.036


# KRbOsPt2 (PBEsol, optimized geometry)
data_KRbOsPt2
_chemical_formula_sum 'K1 Rb1 Os1 Pt2'
_space_group_name_H-M_alt 'P 4/m m m'
_space_group_IT_number 123
_space_group_name_Hall '-P 4 2'
_cell_length_a 5.1478
_cell_length_b 5.1478
_cell_length_c 4.9959
_cell_angle_alpha 90.00
_cell_angle_beta 90.00
_cell_angle_gamma 90.00
loop_
_atom_site_label
_atom_site_type_symbol
_atom_site_fract_x
_atom_site_fract_y
_atom_site_fract_z
K1 K 0.0000 0.0000 0.0000
Rb1 Rb 0.5000 0.5000 0.5000
Os1 Os 0.5000 0.5000 0.0000
Pt1 Pt 0.0000 0.5000 0.5000
# - total moment (μB/f.u.) = 1.87
# - energy relative to the elements (eV/atom) = 2.60
# - volume (Å³ per cell) = 132.4
# - energy (eV per atom) = -3.055


# KRb3Os (PBEsol, optimized geometry)
data_KRb3Os
_chemical_formula_sum 'K1 Rb3 Os1'
_space_group_name_H-M_alt 'P m -3 m'
_space_group_IT_number 221
_space_group_name_Hall '-P 4 2 3'
_cell_length_a 6.5399
_cell_length_b 6.5399
_cell_length_c 6.5399
_cell_angle_alpha 90.00
_cell_angle_beta 90.00
_cell_angle_gamma 90.00
loop_
_atom_site_label
_atom_site_type_symbol
_atom_site_fract_x
_atom_site_fract_y
_atom_site_fract_z
K1 K 0.0000 0.0000 0.0000
Rb1 Rb 0.0000 0.5000 0.5000
Os1 Os 0.5000 0.5000 0.5000
# - total moment (μB/f.u.) = 1.89
# - polymorph energy (0 for the lowest one) (eV per formula unit) = 0.00
# - energy relative to the elements (eV/atom) = 1.18
# - volume (Å³ per cell) = 279.7
# - energy (eV per atom) = -2.100


# K3RbOs (PBEsol, optimized geometry)
data_K3RbOs
_chemical_formula_sum 'K3 Rb1 Os1'
_space_group_name_H-M_alt 'P m -3 m'
_space_group_IT_number 221
_space_group_name_Hall '-P 4 2 3'
_cell_length_a 6.3202
_cell_length_b 6.3202
_cell_length_c 6.3202
_cell_angle_alpha 90.00
_cell_angle_beta 90.00
_cell_angle_gamma 90.00
loop_
_atom_site_label
_atom_site_type_symbol
_atom_site_fract_x
_atom_site_fract_y
_atom_site_fract_z
K1 K 0.0000 0.0000 0.5000
Rb1 Rb 0.5000 0.5000 0.5000
Os1 Os 0.0000 0.0000 0.0000
# - total moment (μB/f.u.) = 1.86
# - energy relative to the elements (eV/atom) = 1.17
# - volume (Å³ per cell) = 252.5
# - energy (eV per atom) = -2.159


# KRb3Os (PBEsol, optimized geometry)
data_KRb3Os
_chemical_formula_sum 'K1 Rb3 Os1'
_space_group_name_H-M_alt 'P m -3 m'
_space_group_IT_number 221
_space_group_name_Hall '-P 4 2 3'
_cell_length_a 7.1710
_cell_length_b 7.1710
_cell_length_c 7.1710
_cell_angle_alpha 90.00
_cell_angle_beta 90.00
_cell_angle_gamma 90.00
loop_
_atom_site_label
_atom_site_type_symbol
_atom_site_fract_x
_atom_site_fract_y
_atom_site_fract_z
K1 K 0.0000 0.0000 0.0000
Rb1 Rb 0.0000 0.0000 0.5000
Os1 Os 0.5000 0.5000 0.5000
# - total moment (μB/f.u.) = 2.62
# - polymorph energy (0 for the lowest one) (eV per formula unit) = 3.21
# - energy relative to the elements (eV/atom) = 1.83
# - volume (Å³ per cell) = 368.7
# - energy (eV per atom) = -1.458


# KRe2Os (PBEsol, optimized geometry)
data_KRe2Os
_chemical_formula_sum 'K1 Re2 Os1'
_space_group_name_H-M_alt 'P 4/m m m'
_space_group_IT_number 123
_space_group_name_Hall '-P 4 2'
_cell_length_a 2.7054
_cell_length_b 2.7054
_cell_length_c 9.7692
_cell_angle_alpha 90.00
_cell_angle_beta 90.00
_cell_angle_gamma 90.00
loop_
_atom_site_label
_atom_site_type_symbol
_atom_site_fract_x
_atom_site_fract_y
_atom_site_fract_z
K1 K 0.0000 0.0000 0.0000
Re1 Re 0.5000 0.5000 0.3058
Os1 Os 0.0000 0.0000 0.5000
# - total moment (μB/f.u.) = 0.00
# - polymorph energy (0 for the lowest one) (eV per formula unit) = 0.22
# - energy relative to the elements (eV/atom) = 0.92
# - volume (Å³ per cell) = 71.5
# - energy (eV per atom) = -9.079


volume of number 3 (KRb3Os)? 279.7 Å³ per cell


Which value of total moment does entry 1 give? 0.00 μB/f.u.